A plane-wave DFT calculation with PBE was carried out for a geometry-optimized TaCuP2 structure.

Cell: 5.4603 5.4603 3.5270 Å, 90.01 90.01 35.43°
Fractional positions:
Cu (0.2504, 0.2504, 0.1253)
P (0.0331, 0.0331, 0.1248)
P (0.7634, 0.7634, 0.6250)
Ta (0.4530, 0.4530, 0.6249)

Values from the calculation:
Symmetry: Amm2
Distance to the lowest polymorph of the same formula in meV/atom: 0.0